1.
This record from OQMD describes an optimized crystal structure of Ta4Co2C. The functional is PBE-GGA.

a b c (Å): 8.2340 8.2340 8.2340
angles (deg): 60.00 60.00 60.00
With the nearest neighbours (Å) after each atom.
Positions (direct):
Ta (0.0000, 0.0000, 0.0000)  6 Co 2.54
Ta (0.0000, 0.0000, 0.5000)  6 Co 2.54
Ta (0.0000, 0.5000, 0.0000)  6 Co 2.54
Ta (0.1887, 0.1887, 0.5613)  2 C 2.18
Ta (0.1887, 0.5613, 0.1887)  2 C 2.18
Ta (0.1887, 0.5613, 0.5613)  2 C 2.18
Ta (0.4387, 0.4387, 0.8113)  2 C 2.18
Ta (0.4387, 0.8113, 0.4387)  2 C 2.18
Ta (0.4387, 0.8113, 0.8113)  2 C 2.18
Ta (0.5000, 0.0000, 0.0000)  6 Co 2.54
Ta (0.5613, 0.1887, 0.1887)  2 C 2.18
Ta (0.5613, 0.1887, 0.5613)  2 C 2.18
Ta (0.5613, 0.5613, 0.1887)  2 C 2.18
Ta (0.8113, 0.4387, 0.4387)  2 C 2.18
Ta (0.8113, 0.4387, 0.8113)  2 C 2.18
Ta (0.8113, 0.8113, 0.4387)  2 C 2.18
Co (0.1348, 0.7884, 0.7884)  6 Ta 2.54-2.70
Co (0.2116, 0.2116, 0.2116)  6 Ta 2.54-2.70
Co (0.2116, 0.2116, 0.8652)  6 Ta 2.54-2.70
Co (0.2116, 0.8652, 0.2116)  6 Ta 2.54-2.70
Co (0.7884, 0.1348, 0.7884)  6 Ta 2.54-2.70
Co (0.7884, 0.7884, 0.1348)  6 Ta 2.54-2.70
Co (0.7884, 0.7884, 0.7884)  6 Ta 2.54-2.70
Co (0.8652, 0.2116, 0.2116)  6 Ta 2.54-2.70
C (0.0000, 0.5000, 0.5000)  6 Ta 2.18
C (0.5000, 0.0000, 0.5000)  6 Ta 2.18
C (0.5000, 0.5000, 0.0000)  6 Ta 2.18
C (0.5000, 0.5000, 0.5000)  6 Ta 2.18

* E_tot: -10.510 eV per atom
* mass density: 14.364 g cm⁻³
* size of the total moment: 3.9 μB per cell
* space group: Fd-3m, No. 227

=====

2.
This record from OQMD describes an optimized crystal structure of Ta4CoC3. The functional is PBE-GGA.

a b c (Å): 3.1305 3.1305 23.1317
angles (deg): 90.00 90.00 120.00
With the nearest neighbours (Å) after each atom.
Positions (direct):
Ta (0.0000, 0.0000, 0.1673)  3 C 2.19
Ta (0.0000, 0.0000, 0.3327)  3 C 2.19
Ta (0.0000, 0.0000, 0.6673)  3 C 2.19
Ta (0.0000, 0.0000, 0.8327)  3 C 2.19
Ta (0.3333, 0.6667, 0.0575)  6 C 2.23-2.24
Ta (0.3333, 0.6667, 0.4425)  6 C 2.23-2.24
Ta (0.6667, 0.3333, 0.5575)  6 C 2.23-2.24
Ta (0.6667, 0.3333, 0.9425)  6 C 2.23-2.24
Co (0.3333, 0.6667, 0.2500)  6 Ta 2.63
Co (0.6667, 0.3333, 0.7500)  6 Ta 2.63
C (0.0000, 0.0000, 0.0000)  6 Ta 2.24
C (0.0000, 0.0000, 0.5000)  6 Ta 2.24
C (0.3333, 0.6667, 0.6139)  6 Ta 2.19-2.23
C (0.3333, 0.6667, 0.8861)  6 Ta 2.19-2.23
C (0.6667, 0.3333, 0.1139)  6 Ta 2.19-2.23
C (0.6667, 0.3333, 0.3861)  6 Ta 2.19-2.23

* E_tot: -10.716 eV per atom
* mass density: 13.851 g cm⁻³
* size of the total moment: 0.7 μB per cell
* space group: P6_3/mmc, No. 194

=====

3.
This record from OQMD describes an optimized crystal structure of Ta4Co3W2C3. The functional is PBE-GGA.

a b c (Å): 5.2682 5.2682 13.3228
angles (deg): 101.83 101.83 58.67
With the nearest neighbours (Å) after each atom.
Positions (direct):
Ta (0.0279, 0.2003, 0.0915)  3 C 2.11-2.19
Ta (0.1361, 0.3033, 0.4070)  3 C 2.10-2.22
Ta (0.2003, 0.0279, 0.5915)  3 C 2.11-2.19
Ta (0.3033, 0.1361, 0.9070)  3 C 2.10-2.22
Ta (0.6967, 0.8639, 0.0930)  3 C 2.10-2.22
Ta (0.7997, 0.9721, 0.4085)  3 C 2.11-2.19
Ta (0.8639, 0.6967, 0.5930)  3 C 2.10-2.22
Ta (0.9721, 0.7997, 0.9085)  3 C 2.11-2.19
Co (0.0892, 0.9108, 0.7500)  4 Ta 2.54-2.57, 4 Co 2.57-2.71
Co (0.1329, 0.4015, 0.7496)  4 Ta 2.51-2.58, 4 Co 2.57-2.71, 1 W 2.79
Co (0.4015, 0.1329, 0.2496)  4 Ta 2.51-2.58, 4 Co 2.57-2.71, 1 W 2.79
Co (0.5985, 0.8671, 0.7504)  4 Ta 2.51-2.58, 4 Co 2.57-2.71, 1 W 2.79
Co (0.8671, 0.5985, 0.2504)  4 Ta 2.51-2.58, 4 Co 2.57-2.71, 1 W 2.79
Co (0.9108, 0.0892, 0.2500)  4 Ta 2.54-2.57, 4 Co 2.57-2.71
W (0.3970, 0.5357, 0.1321)  3 C 2.30-2.50
W (0.4643, 0.6030, 0.3679)  3 C 2.30-2.50
W (0.5357, 0.3970, 0.6321)  3 C 2.30-2.50
W (0.6030, 0.4643, 0.8679)  3 C 2.30-2.50
C (0.0000, 0.5000, 0.0000)  4 Ta 2.10-2.11
C (0.1942, 0.6518, 0.5003)  4 Ta 2.11-2.22, 1 W 2.30
C (0.3482, 0.8058, 0.9997)  4 Ta 2.11-2.22, 1 W 2.30
C (0.5000, 0.0000, 0.5000)  4 Ta 2.10-2.11
C (0.6518, 0.1942, 0.0003)  4 Ta 2.11-2.22, 1 W 2.30
C (0.8058, 0.3482, 0.4997)  4 Ta 2.11-2.22, 1 W 2.30

* E_tot: -10.252 eV per atom
* mass density: 14.111 g cm⁻³
* size of the total moment: 1.0 μB per cell
* space group: C2/c, No. 15

=====

4.
This record from OQMD describes an optimized crystal structure of Y4Ta2Co3C3. The functional is PBE-GGA.

a b c (Å): 5.7732 5.7732 13.7889
angles (deg): 101.92 101.92 60.30
With the nearest neighbours (Å) after each atom.
Positions (direct):
Y (0.0400, 0.8745, 0.6226)  3 C 2.48-2.67
Y (0.1255, 0.9600, 0.8774)  3 C 2.48-2.67
Y (0.1882, 0.3710, 0.1020)  3 C 2.41-2.47, 3 Co 2.57-2.62
Y (0.3710, 0.1882, 0.6020)  3 C 2.41-2.47, 3 Co 2.57-2.62
Y (0.6290, 0.8118, 0.3980)  3 C 2.41-2.47, 3 Co 2.57-2.62
Y (0.8118, 0.6290, 0.8980)  3 C 2.41-2.47, 3 Co 2.57-2.62
Y (0.8745, 0.0400, 0.1226)  3 C 2.48-2.67
Y (0.9600, 0.1255, 0.3774)  3 C 2.48-2.67
Ta (0.2922, 0.4765, 0.4143)  3 C 2.09-2.19
Ta (0.4765, 0.2922, 0.9143)  3 C 2.09-2.19
Ta (0.5235, 0.7078, 0.0857)  3 C 2.09-2.19
Ta (0.7078, 0.5235, 0.5857)  3 C 2.09-2.19
Co (0.0917, 0.3977, 0.7495)  2 Y 2.57-2.59, 2 Ta 2.75-2.76, 1 Co 2.86
Co (0.3977, 0.0917, 0.2495)  2 Y 2.57-2.59, 2 Ta 2.75-2.76, 1 Co 2.86
Co (0.4096, 0.5904, 0.2500)  2 Y 2.62, 2 Ta 2.78, 4 Co 2.86-2.91
Co (0.5904, 0.4096, 0.7500)  2 Y 2.62, 2 Ta 2.78, 4 Co 2.86-2.91
Co (0.6023, 0.9083, 0.7505)  2 Y 2.57-2.59, 2 Ta 2.75-2.76, 1 Co 2.86
Co (0.9083, 0.6023, 0.2505)  2 Y 2.57-2.59, 2 Ta 2.75-2.76, 1 Co 2.86
C (0.0000, 0.5000, 0.5000)  2 Ta 2.19, 2 Y 2.41
C (0.2074, 0.6555, 0.9983)  2 Ta 2.09-2.16
C (0.3445, 0.7926, 0.5017)  2 Ta 2.09-2.16
C (0.5000, 0.0000, 0.0000)  2 Ta 2.19, 2 Y 2.41
C (0.6555, 0.2074, 0.4983)  2 Ta 2.09-2.16
C (0.7926, 0.3445, 0.0017)  2 Ta 2.09-2.16

* E_tot: -8.411 eV per atom
* mass density: 7.970 g cm⁻³
* size of the total moment: 0.0 μB per cell
* space group: C2/c, No. 15

=====

5.
This record from OQMD describes an optimized crystal structure of Y2TaCoC6. The functional is PBE-GGA.

a b c (Å): 5.3724 5.3724 6.4290
angles (deg): 120.49 120.49 53.58
With the nearest neighbours (Å) after each atom.
Positions (direct):
Y (0.2314, 0.2314, 0.2017)  7 C 2.43-2.69
Y (0.7686, 0.7686, 0.7983)  7 C 2.43-2.69
Ta (0.0000, 0.0000, 0.5000)  6 C 2.15-2.22
Co (0.5000, 0.5000, 0.0000)  6 C 1.92-2.03
C (0.2584, 0.2584, 0.8251)  1 Co 1.92
C (0.3192, 0.5960, 0.6697)  1 C 1.34
C (0.4040, 0.6808, 0.3303)  1 C 1.34
C (0.5960, 0.3192, 0.6697)  1 C 1.34
C (0.6808, 0.4040, 0.3303)  1 C 1.34
C (0.7416, 0.7416, 0.1749)  1 Co 1.92

* E_tot: -8.522 eV per atom
* mass density: 6.620 g cm⁻³
* size of the total moment: 0.0 μB per cell
* space group: C2/m, No. 12

=====

6.
This record from OQMD describes an optimized crystal structure of TbCoC. The functional is PBE-GGA.

a b c (Å): 3.6241 3.6241 6.9541
angles (deg): 90.00 90.00 90.00
With the nearest neighbours (Å) after each atom.
Positions (direct):
Tb (0.0000, 0.0000, 0.2500)  4 C 2.51
Tb (0.0000, 0.0000, 0.7500)  4 C 2.51
Co (0.5000, 0.5000, 0.0000)  2 C 1.81
Co (0.5000, 0.5000, 0.5000)  2 C 1.81
C (0.0000, 0.5000, 0.0000)  2 Co 1.81
C (0.5000, 0.0000, 0.5000)  2 Co 1.81

* E_tot: -7.289 eV per atom
* mass density: 8.358 g cm⁻³
* size of the total moment: 0.6 μB per cell
* space group: P4_2/mmc, No. 131

=====

7.
This record from OQMD describes an optimized crystal structure of Tb4Co2C3. The functional is PBE-GGA.

a b c (Å): 7.1690 3.6250 12.7663
angles (deg): 90.00 105.89 90.00
With the nearest neighbours (Å) after each atom.
Positions (direct):
Tb (0.0951, 0.0000, 0.2228)  3 C 2.48
Tb (0.2522, 0.0000, 0.5026)  4 C 2.55-2.58
Tb (0.2630, 0.5000, 0.9913)  3 C 2.36-2.47
Tb (0.3809, 0.0000, 0.7876)  4 C 2.50-2.61
Tb (0.6191, 0.0000, 0.2124)  4 C 2.50-2.61
Tb (0.7370, 0.5000, 0.0087)  3 C 2.36-2.47
Tb (0.7478, 0.0000, 0.4974)  4 C 2.55-2.58
Tb (0.9049, 0.0000, 0.7772)  3 C 2.48
Co (0.0732, 0.5000, 0.6455)  2 C 1.79-1.89
Co (0.4249, 0.5000, 0.3482)  2 C 1.81
Co (0.5751, 0.5000, 0.6518)  2 C 1.81
Co (0.9268, 0.5000, 0.3545)  2 C 1.79-1.89
C (0.0000, 0.5000, 0.5000)  2 Co 1.79
C (0.1483, 0.5000, 0.7994)  1 Co 1.89
C (0.4251, 0.0000, 0.3503)  2 Co 1.81
C (0.5000, 0.0000, 0.0000)  6 Tb 2.47-2.61
C (0.5749, 0.0000, 0.6497)  2 Co 1.81
C (0.8517, 0.5000, 0.2006)  1 Co 1.89

* E_tot: -7.012 eV per atom
* mass density: 8.218 g cm⁻³
* size of the total moment: 0.0 μB per cell
* space group: P2/m, No. 10

=====

8.
This record from OQMD describes an optimized crystal structure of TbCo3C3. The functional is PBE-GGA.

a b c (Å): 3.2959 3.2959 16.1047
angles (deg): 90.00 90.00 120.00
With the nearest neighbours (Å) after each atom.
Positions (direct):
Tb (0.0000, 0.0000, 0.0000)  6 C 2.59
Tb (0.0000, 0.0000, 0.5000)  6 C 2.59
Co (0.3333, 0.6667, 0.1384)  4 C 1.80-1.96
Co (0.3333, 0.6667, 0.3616)  4 C 1.80-1.96
Co (0.3333, 0.6667, 0.7500)  3 C 1.90
Co (0.6667, 0.3333, 0.2500)  3 C 1.90
Co (0.6667, 0.3333, 0.6384)  4 C 1.80-1.96
Co (0.6667, 0.3333, 0.8616)  4 C 1.80-1.96
C (0.3333, 0.6667, 0.2500)  5 Co 1.80-1.90
C (0.3333, 0.6667, 0.6090)  3 Co 1.96
C (0.3333, 0.6667, 0.8910)  3 Co 1.96
C (0.6667, 0.3333, 0.1090)  3 Co 1.96
C (0.6667, 0.3333, 0.3910)  3 Co 1.96
C (0.6667, 0.3333, 0.7500)  5 Co 1.80-1.90

* E_tot: -7.579 eV per atom
* mass density: 8.149 g cm⁻³
* size of the total moment: 0.0 μB per cell
* space group: P6_3/mmc, No. 194

=====

9.
This record from OQMD describes an optimized crystal structure of TbCoC2. The functional is PBE-GGA.

a b c (Å): 3.5937 3.7465 3.7465
angles (deg): 74.02 90.00 90.00
With the nearest neighbours (Å) after each atom.
Positions (direct):
Tb (0.0000, 0.0000, 0.0000)  8 C 2.65-2.66, 2 Co 2.90
Co (0.5000, 0.3804, 0.3804)  4 C 1.93-1.99
C (0.5000, 0.5396, 0.8445)  1 C 1.38
C (0.5000, 0.8445, 0.5396)  1 C 1.38

* E_tot: -7.884 eV per atom
* mass density: 8.283 g cm⁻³
* size of the total moment: 0.0 μB per cell
* space group: Amm2, No. 38

=====

10.
This record from OQMD describes an optimized crystal structure of ThCoC2. The functional is PBE-GGA.

a b c (Å): 3.8150 3.7923 3.7923
angles (deg): 73.84 90.00 90.00
With the nearest neighbours (Å) after each atom.
Positions (direct):
Th (0.0000, 0.0000, 0.0000)  8 C 2.74, 6 Co 3.04-3.05
Co (0.5000, 0.3920, 0.3920)  4 C 1.97-1.98
C (0.5000, 0.5414, 0.8521)  1 C 1.42
C (0.5000, 0.8521, 0.5414)  1 C 1.42

* E_tot: -8.554 eV per atom
* mass density: 9.926 g cm⁻³
* size of the total moment: 0.0 μB per cell
* space group: Amm2, No. 38

=====

11.
This record from OQMD describes an optimized crystal structure of Y4TlCoC2. The functional is PBE-GGA.

a b c (Å): 3.6010 3.6010 15.0032
angles (deg): 90.00 90.00 120.00
With the nearest neighbours (Å) after each atom.
Positions (direct):
Y (0.0000, 0.0000, 0.1325)  3 C 2.53
Y (0.0000, 0.0000, 0.8675)  3 C 2.53
Y (0.3333, 0.6667, 0.3142)  3 C 2.44
Y (0.3333, 0.6667, 0.6858)  3 C 2.44
Tl (0.0000, 0.0000, 0.5000)  6 Y 3.48, 6 Tl 3.60
Co (0.3333, 0.6667, 0.0000)  6 Y 2.88
C (0.6667, 0.3333, 0.2291)  6 Y 2.44-2.53
C (0.6667, 0.3333, 0.7709)  6 Y 2.44-2.53

* E_tot: -6.895 eV per atom
* mass density: 6.337 g cm⁻³
* size of the total moment: 1.2 μB per cell
* space group: P-6m2, No. 187

=====

12.
This record from OQMD describes an optimized crystal structure of TmCo3C3. The functional is PBE-GGA.

a b c (Å): 3.2765 3.2765 15.8793
angles (deg): 90.00 90.00 120.00
With the nearest neighbours (Å) after each atom.
Positions (direct):
Tm (0.0000, 0.0000, 0.0000)  6 C 2.52
Tm (0.0000, 0.0000, 0.5000)  6 C 2.52
Co (0.3333, 0.6667, 0.1364)  4 C 1.80-1.96
Co (0.3333, 0.6667, 0.3636)  4 C 1.80-1.96
Co (0.3333, 0.6667, 0.7500)  3 C 1.89
Co (0.6667, 0.3333, 0.2500)  3 C 1.89
Co (0.6667, 0.3333, 0.6364)  4 C 1.80-1.96
Co (0.6667, 0.3333, 0.8636)  4 C 1.80-1.96
C (0.3333, 0.6667, 0.2500)  5 Co 1.80-1.89
C (0.3333, 0.6667, 0.6051)  3 Co 1.96
C (0.3333, 0.6667, 0.8949)  3 Co 1.96
C (0.6667, 0.3333, 0.1051)  3 Co 1.96
C (0.6667, 0.3333, 0.3949)  3 Co 1.96
C (0.6667, 0.3333, 0.7500)  5 Co 1.80-1.89

* E_tot: -7.601 eV per atom
* mass density: 8.588 g cm⁻³
* size of the total moment: 0.0 μB per cell
* space group: P6_3/mmc, No. 194

=====

> The lowest E_tot belongs to which entry?

Ta4CoC3

=====

> What is the formula in the tenth record?

ThCoC2